# 1
A relaxed structure of Cu2PbSe. Source: Alexandria, functional PBE.

energy relative to the elements, uncorrected = 0.242 eV per atom
calculated density = 8.71 g/cm³
final energy = -14.42 eV per cell

```
Cu2PbSe
1.0
-1.8952 1.8952 5.4823
1.8952 -1.8952 5.4823
1.8952 1.8952 -5.4823
Cu Pb Se
2 1 1
Cartesian
0.0000 0.0000 0.0000
0.0000 1.8952 2.7411
1.8952 0.0000 2.7411
0.0000 0.0000 5.4823
```

---

# 2
A relaxed structure of ThCoSe. Source: Alexandria, functional PBE.

energy relative to the elements, uncorrected = -0.574 eV per atom
calculated density = 9.27 g/cm³
final energy = -78.93 eV per cell

```
ThCoSe
1.0
8.2783 0.0000 0.0000
0.0000 8.2783 0.0000
0.0000 0.0000 3.8683
Th Co Se
4 4 4
Cartesian
0.5096 5.9772 0.0000
2.3012 0.5096 1.9342
5.9772 7.7687 1.9342
7.7687 2.3012 0.0000
2.3825 5.7345 1.9342
2.5438 2.3825 0.0000
5.7345 5.8958 0.0000
5.8958 2.5438 1.9342
1.6451 3.5244 1.9342
3.5244 6.6332 0.0000
4.7539 1.6451 0.0000
6.6332 4.7539 1.9342
```

---

# 3
A relaxed structure of Sc4Hg2N. Source: Alexandria, functional PBE.

energy relative to the elements, uncorrected = -0.756 eV per atom
calculated density = 7.04 g/cm³
final energy = -39.55 eV per cell

```
Sc4Hg2N
1.0
-2.2272 2.2272 7.0684
2.2272 -2.2272 7.0684
2.2272 2.2272 -7.0684
Sc Hg N
4 2 1
Cartesian
2.2272 0.0000 0.0000
0.0000 0.0000 2.3283
0.0000 2.2272 0.0000
0.0000 0.0000 11.8086
0.0000 0.0000 5.1546
0.0000 0.0000 8.9823
0.0000 0.0000 0.0000
```

---

# 4
A relaxed structure of Ba3Np2Se7. Source: Alexandria, functional PBE.

energy relative to the elements, uncorrected = -1.456 eV per atom
calculated density = 6.06 g/cm³
final energy = -73.52 eV per cell

```
Ba3Np2Se7
1.0
2.7728 -13.2291 0.0000
2.7728 13.2291 0.0000
0.0000 0.0000 5.3701
Ba Np Se
3 2 7
Cartesian
0.0000 0.0000 0.0000
2.7728 8.4260 0.0000
2.7728 -8.4260 0.0000
2.7728 2.7677 2.6851
2.7728 -2.7677 2.6851
2.7728 10.6262 2.6851
2.7728 5.5036 2.6851
2.7728 2.7173 0.0000
2.7728 0.0000 2.6851
2.7728 -2.7173 0.0000
2.7728 -5.5036 2.6851
2.7728 -10.6262 2.6851
```

---

# 5
A relaxed structure of NiBiAu2. Source: Alexandria, functional PBE.

calculated density = 13.61 g/cm³
final energy = -31.08 eV per cell
calculated formation energy = 0.7 eV per formula unit

```
NiBiAu2
1.0
-3.8870 3.8870 2.6711
3.8870 -3.8870 2.6711
3.8870 3.8870 -2.6711
Ni Bi Au
2 2 4
Cartesian
0.0000 0.0000 0.0000
0.0000 3.8870 1.3356
3.8870 0.0000 1.3356
0.0000 0.0000 2.6711
1.9435 1.6065 -0.6678
2.2805 -1.9435 3.3389
1.9435 2.2805 2.0034
1.6065 5.8304 0.6678
```

---

# 6
A relaxed structure of RbAc2SnO5. Source: Alexandria, functional PBE.

energy relative to the elements, uncorrected = -2.298 eV per atom
calculated density = 7.23 g/cm³
final energy = -117.31 eV per cell

```
RbAc2SnO5
1.0
7.2932 0.0000 0.0000
0.0000 7.2932 0.0000
0.0000 0.0000 6.3766
Rb Ac Sn O
2 4 2 10
Cartesian
0.0000 0.0000 0.0000
3.6466 3.6466 0.0000
1.3238 2.3228 3.1883
2.3228 5.9693 3.1883
4.9704 1.3238 3.1883
5.9693 4.9704 3.1883
0.0000 3.6466 0.0000
3.6466 0.0000 0.0000
0.0000 0.0000 3.1883
0.9888 4.6354 1.6139
0.9888 4.6354 4.7627
2.6577 0.9888 1.6139
2.6577 0.9888 4.7627
3.6466 3.6466 3.1883
4.6354 6.3043 1.6139
4.6354 6.3043 4.7627
6.3043 2.6577 1.6139
6.3043 2.6577 4.7627
```

---

# 7
A relaxed structure of Pm2Th4Sb3N2. Source: Alexandria, functional PBE.

energy relative to the elements, uncorrected = -1.029 eV per atom
calculated density = 8.93 g/cm³
final energy = -79.51 eV per cell

```
Pm2Th4Sb3N2
1.0
-2.3804 2.3804 13.2271
2.3804 -2.3804 13.2271
2.3804 2.3804 -13.2271
Pm Th Sb N
2 4 3 2
Cartesian
0.0000 0.0000 5.2417
0.0000 0.0000 21.2125
2.3804 0.0000 2.2483
2.3804 0.0000 10.9788
0.0000 2.3804 2.2483
0.0000 2.3804 10.9788
0.0000 0.0000 8.5198
0.0000 0.0000 13.2271
0.0000 0.0000 17.9343
0.0000 0.0000 2.7573
0.0000 0.0000 23.6968
```

---

# 8
A relaxed structure of UCd2Pt8. Source: Alexandria, functional PBE.

calculated density = 16.80 g/cm³
final energy = -66.06 eV per cell
calculated formation energy = -4.6 eV per formula unit

```
UCd2Pt8
1.0
-2.0016 4.1492 6.0198
2.0016 -4.1492 6.0198
2.0016 4.1492 -6.0198
U Cd Pt
1 2 8
Cartesian
0.0000 0.0000 0.0000
0.0000 0.0000 4.2444
0.0000 0.0000 7.7952
2.0016 -2.1462 3.9802
2.0016 0.0000 2.0124
2.0016 1.9993 0.0000
0.0000 2.0029 2.0396
2.0016 2.1462 3.9802
0.0000 2.1498 6.0198
0.0000 4.1492 4.0074
0.0000 6.2954 2.0396
```

---

# 9
A relaxed structure of SrNi2P. Source: Alexandria, functional PBE.

calculated density = 4.83 g/cm³
final energy = -20.29 eV per cell
calculated formation energy = -1.6 eV per formula unit

```
SrNi2P
1.0
3.6467 0.0000 0.0000
0.0000 4.6325 0.0000
0.0000 0.0000 4.8017
Sr Ni P
1 2 1
Cartesian
0.0000 0.0000 0.0000
1.8233 2.3162 1.1976
1.8233 2.3162 3.6041
0.0000 2.3162 2.4008
```

---

# 10
A relaxed structure of CdTc2Se. Source: Alexandria, functional PBE.

energy relative to the elements, uncorrected = 0.581 eV per atom
calculated density = 9.62 g/cm³
final energy = -22.81 eV per cell

```
CdTc2Se
1.0
-2.0100 2.3636 3.5203
2.0100 -2.3636 3.5203
2.0100 2.3636 -3.5203
Cd Tc Se
1 2 1
Cartesian
0.0000 0.0000 0.0000
2.0100 0.0000 2.0737
0.0000 2.3636 1.4466
0.0000 0.0000 3.5203
```

---

# 11
A relaxed structure of TcRh2Br. Source: Alexandria, functional PBE.

energy relative to the elements, uncorrected = 0.473 eV per atom
calculated density = 9.79 g/cm³
final energy = -24.85 eV per cell

```
TcRh2Br
1.0
2.9400 0.0000 0.0000
0.0000 3.6369 0.0000
0.0000 0.0000 6.0869
Tc Rh Br
1 2 1
Cartesian
0.0000 0.0000 0.0000
1.4700 1.8184 1.3094
1.4700 1.8184 4.7776
0.0000 0.0000 3.0435
```

---

# 12
A relaxed structure of Sc2MoPd. Source: Alexandria, functional PBE.

calculated density = 6.29 g/cm³
final energy = -56.19 eV per cell
calculated formation energy = 0.6 eV per formula unit

```
Sc2MoPd
1.0
-3.6127 3.6127 2.9551
3.6127 -3.6127 2.9551
3.6127 3.6127 -2.9551
Sc Mo Pd
4 2 2
Cartesian
5.4191 1.6891 -0.7388
1.6891 1.8064 0.7388
-1.8064 1.9236 2.2164
1.9236 1.8064 3.6939
3.6127 0.0000 1.4776
0.0000 0.0000 2.9551
0.0000 0.0000 0.0000
0.0000 3.6127 1.4776
```

---

# 13
A relaxed structure of Ca3ReSn. Source: Alexandria, functional PBE.

calculated density = 4.28 g/cm³
final energy = -19.40 eV per cell
calculated formation energy = 3.1 eV per formula unit

```
Ca3ReSn
1.0
5.4840 0.0000 0.0000
0.0000 5.4840 0.0000
0.0000 0.0000 5.4840
Ca Re Sn
3 1 1
Cartesian
0.0000 0.0000 2.7420
0.0000 2.7420 0.0000
2.7420 0.0000 0.0000
0.0000 0.0000 0.0000
2.7420 2.7420 2.7420
```

---

# 14
A relaxed structure of Zn2CuNi6. Source: Alexandria, functional PBE.

calculated density = 8.01 g/cm³
final energy = -39.87 eV per cell
calculated formation energy = 1.5 eV per formula unit

```
Zn2CuNi6
1.0
4.8312 0.0000 0.0000
-2.4156 4.1840 0.0000
0.0000 0.0000 5.6014
Zn Cu Ni
2 1 6
Cartesian
0.0000 2.7893 2.0922
2.4156 1.3946 3.5092
0.0000 0.0000 2.8007
0.0000 1.4394 4.6575
-1.1691 3.4643 4.6575
1.2465 0.7197 0.9439
1.1691 3.4643 4.6575
3.5847 0.7197 0.9439
2.4156 2.7446 0.9439
```

---

# 15
A relaxed structure of CuIrCl. Source: Alexandria, functional PBE.

energy relative to the elements, uncorrected = 0.949 eV per atom
calculated density = 9.28 g/cm³
final energy = -11.96 eV per cell

```
CuIrCl
1.0
0.0000 2.9646 2.9646
2.9646 0.0000 2.9646
2.9646 2.9646 0.0000
Cu Ir Cl
1 1 1
Cartesian
0.0000 0.0000 0.0000
1.4823 1.4823 1.4823
2.9646 2.9646 2.9646
```

---

# 16
A relaxed structure of Ba6Cd2AgN. Source: Alexandria, functional PBE.

energy relative to the elements, uncorrected = -0.252 eV per atom
calculated density = 4.67 g/cm³
final energy = -54.12 eV per cell

```
Ba6Cd2AgN
1.0
8.1319 0.0000 0.0000
0.0000 8.7012 0.0000
-7.7125 0.0000 11.7558
Ba Cd Ag N
12 4 2 2
Cartesian
-0.7298 0.1740 2.6649
-4.5861 4.1766 8.5428
1.3271 6.2348 0.5441
-2.5291 6.8171 6.4220
2.3655 1.4814 0.5787
-1.4908 2.8692 6.4566
1.9102 5.8320 5.2992
-1.9461 7.2198 11.1770
2.9485 1.8842 5.3338
-0.9078 2.4664 11.2116
5.0055 4.5247 3.2129
1.1492 8.5272 9.0908
-3.4556 0.7554 8.8209
0.4007 3.5952 2.9430
0.0187 5.1060 8.8128
3.8750 7.9458 2.9349
0.2097 0.0000 5.8779
4.0660 4.3506 0.0000
0.0000 0.0000 0.0000
-3.8563 4.3506 5.8779
```

---

# 17
A relaxed structure of CaMoRh. Source: Alexandria, functional PBE.

calculated density = 5.84 g/cm³
final energy = -15.75 eV per cell
calculated formation energy = 4.4 eV per formula unit

```
CaMoRh
1.0
0.0000 3.2384 3.2384
3.2384 0.0000 3.2384
3.2384 3.2384 0.0000
Ca Mo Rh
1 1 1
Cartesian
0.0000 0.0000 0.0000
1.6192 1.6192 1.6192
4.8576 4.8576 4.8576
```

---

# 18
A relaxed structure of YPuPd6. Source: Alexandria, functional PBE.

calculated density = 11.39 g/cm³
final energy = -57.62 eV per cell
calculated formation energy = -5.7 eV per formula unit

```
YPuPd6
1.0
4.1355 0.0000 0.0000
0.0000 4.1355 0.0000
0.0000 0.0000 8.2797
Y Pu Pd
1 1 6
Cartesian
0.0000 0.0000 0.0000
0.0000 0.0000 4.1398
0.0000 2.0678 2.0924
0.0000 2.0678 6.1873
2.0678 0.0000 2.0924
2.0678 0.0000 6.1873
2.0678 2.0678 0.0000
2.0678 2.0678 4.1398
```

---

# 19
A relaxed structure of TcNi2Hg. Source: Alexandria, functional PBE.

calculated density = 11.96 g/cm³
final energy = -20.30 eV per cell
calculated formation energy = 1.9 eV per formula unit

```
TcNi2Hg
1.0
4.6927 0.0000 0.0000
0.0000 2.6880 0.0000
-1.9788 0.0000 4.5769
Tc Ni Hg
1 2 1
Cartesian
0.0000 0.0000 0.0000
1.3570 0.0000 2.2885
2.3464 1.3440 0.0000
-0.9894 1.3440 2.2885
```

---

# 20
A relaxed structure of Tb3TmSb3. Source: Alexandria, functional PBE.

energy relative to the elements, uncorrected = -0.988 eV per atom
calculated density = 8.64 g/cm³
final energy = -150.58 eV per cell

```
Tb3TmSb3
1.0
9.1938 0.0000 0.0000
0.0000 9.1938 0.0000
0.0000 0.0000 9.1938
Tb Tm Sb
12 4 12
Cartesian
0.6443 3.9526 5.2412
1.6246 7.5692 2.9723
1.6388 1.6388 1.6388
2.9581 7.5550 6.2357
2.9723 1.6246 7.5692
3.9526 5.2412 0.6443
5.2412 0.6443 3.9526
6.2215 6.2215 6.2215
6.2357 2.9581 7.5550
7.5550 6.2357 2.9581
7.5692 2.9723 1.6246
8.5495 8.5495 8.5495
0.6736 5.2705 8.5203
3.9233 3.9233 3.9233
5.2705 8.5203 0.6736
8.5203 0.6736 5.2705
0.0114 2.3275 8.0317
1.1622 4.6083 2.2694
2.2694 1.1622 4.6083
2.3275 8.0317 0.0114
3.4347 4.5855 6.8663
4.5855 6.8663 3.4347
4.6083 2.2694 1.1622
5.7591 9.1824 6.9244
6.8663 3.4347 4.5855
6.9244 5.7591 9.1824
8.0317 0.0114 2.3275
9.1824 6.9244 5.7591
```

---

# 21
A relaxed structure of TaInSi. Source: Alexandria, functional PBE.

energy relative to the elements, uncorrected = 0.283 eV per atom
calculated density = 9.45 g/cm³
final energy = -19.17 eV per cell

```
TaInSi
1.0
0.0000 2.2184 6.8929
1.8613 0.0000 6.8929
1.8613 2.2184 0.0000
Ta In Si
1 1 1
Cartesian
0.0000 0.0000 0.0000
1.8613 2.2184 4.5024
1.8613 2.2184 8.8040
```

---

# 22
A relaxed structure of ZnIr3Pb. Source: Alexandria, functional PBE.

calculated density = 14.49 g/cm³
final energy = -25.47 eV per cell
calculated formation energy = 6.1 eV per formula unit

```
ZnIr3Pb
1.0
4.5997 0.0000 0.0000
0.0000 4.5997 0.0000
0.0000 0.0000 4.5997
Zn Ir Pb
1 3 1
Cartesian
0.0000 0.0000 0.0000
0.0000 0.0000 2.2999
0.0000 2.2999 0.0000
2.2999 0.0000 0.0000
2.2999 2.2999 2.2999
```

---

# 23
A relaxed structure of RbLiAsC2. Source: Alexandria, functional PBE.

calculated density = 1.66 g/cm³
final energy = -10.82 eV per cell
calculated formation energy = 15.2 eV per formula unit

```
RbLiAsC2
1.0
5.4466 0.0000 0.0000
0.0000 5.4466 0.0000
0.0000 0.0000 6.4484
Rb Li As C
1 1 1 2
Cartesian
0.0000 0.0000 0.0000
2.7233 2.7233 3.2242
0.0000 0.0000 3.2242
0.0000 2.7233 0.0000
2.7233 0.0000 0.0000
```

---

# 24
A relaxed structure of KBaCa3. Source: Alexandria, functional PBE.

calculated density = 1.73 g/cm³
final energy = -6.19 eV per cell
calculated formation energy = 2.8 eV per formula unit

```
KBaCa3
1.0
6.5782 0.0000 0.0000
0.0000 6.5782 0.0000
0.0000 0.0000 6.5782
K Ba Ca
1 1 3
Cartesian
0.0000 0.0000 0.0000
3.2891 3.2891 3.2891
0.0000 0.0000 3.2891
0.0000 3.2891 0.0000
3.2891 0.0000 0.0000
```